Record 1
Compound: CsAsCl2
Source: the Alexandria database
Functional: PBE-GGA
Structure: relaxed

Cell and atoms, written as CIF:
```
data_CsAsCl2
_chemical_formula_sum 'Cs4 As4 Cl8'
_space_group_name_H-M_alt 'I -4 2 d'
_space_group_IT_number 122
_space_group_name_Hall 'I -4 2bw'
_cell_length_a 6.188
_cell_length_b 6.188
_cell_length_c 16.413
_cell_angle_alpha 90.00
_cell_angle_beta 90.00
_cell_angle_gamma 90.00
loop_
_atom_site_label
_atom_site_type_symbol
_atom_site_fract_x
_atom_site_fract_y
_atom_site_fract_z
_atom_site_occupancy
Cs1 Cs 0.000 0.000 0.000 1
As1 As 0.000 0.000 0.500 1
Cl1 Cl 0.119 0.250 0.625 1
```

Output
ΔE_f (raw)   -2.66 eV per formula unit
Energy above the lowest structure with this stoichiometry   21 meV/atom
Spin magnetization   0.0 μB per formula unit

***

Record 2
Compound: ScHg2Pd6
Source: the Alexandria database
Functional: PBE-GGA
Structure: relaxed

Cell and atoms, written as CIF:
```
data_ScHg2Pd6
_chemical_formula_sum 'Sc2 Hg4 Pd12'
_space_group_name_H-M_alt 'C 1 2/m 1'
_space_group_IT_number 12
_cell_length_a 8.972
_cell_length_b 4.165
_cell_length_c 8.484
_cell_angle_alpha 90.00
_cell_angle_beta 106.38
_cell_angle_gamma 90.00
loop_
_space_group_symop_operation_xyz
'x,y,z'
'-x,-y,-z'
'-x,y,-z'
'x,-y,z'
'x+1/2,y+1/2,z'
'-x+1/2,-y+1/2,-z'
'-x+1/2,y+1/2,-z'
'x+1/2,-y+1/2,z'
loop_
_atom_site_label
_atom_site_type_symbol
_atom_site_fract_x
_atom_site_fract_y
_atom_site_fract_z
_atom_site_occupancy
Sc1 Sc 0.000 0.000 0.000 1
Hg1 Hg 0.182 0.500 0.234 1
Pd1 Pd 0.009 0.000 0.330 1
Pd2 Pd 0.158 0.500 0.890 1
Pd3 Pd 0.159 0.500 0.554 1
```

Output
Spin magnetization   0.0 μB per formula unit
ΔE_f   -39.1 kJ per mole of atoms

***

Please write out number 2 again, unchanged.
Compound: ScHg2Pd6
Source: the Alexandria database
Functional: PBE-GGA
Structure: relaxed

Cell and atoms, written as CIF:
```
data_ScHg2Pd6
_chemical_formula_sum 'Sc2 Hg4 Pd12'
_space_group_name_H-M_alt 'C 1 2/m 1'
_space_group_IT_number 12
_cell_length_a 8.972
_cell_length_b 4.165
_cell_length_c 8.484
_cell_angle_alpha 90.00
_cell_angle_beta 106.38
_cell_angle_gamma 90.00
loop_
_space_group_symop_operation_xyz
'x,y,z'
'-x,-y,-z'
'-x,y,-z'
'x,-y,z'
'x+1/2,y+1/2,z'
'-x+1/2,-y+1/2,-z'
'-x+1/2,y+1/2,-z'
'x+1/2,-y+1/2,z'
loop_
_atom_site_label
_atom_site_type_symbol
_atom_site_fract_x
_atom_site_fract_y
_atom_site_fract_z
_atom_site_occupancy
Sc1 Sc 0.000 0.000 0.000 1
Hg1 Hg 0.182 0.500 0.234 1
Pd1 Pd 0.009 0.000 0.330 1
Pd2 Pd 0.158 0.500 0.890 1
Pd3 Pd 0.159 0.500 0.554 1
```

Output
Spin magnetization   0.0 μB per formula unit
ΔE_f   -39.1 kJ per mole of atoms

***

What did the first record say?
Compound: CsAsCl2
Source: the Alexandria database
Functional: PBE-GGA
Structure: relaxed

Cell and atoms, written as CIF:
```
data_CsAsCl2
_chemical_formula_sum 'Cs4 As4 Cl8'
_space_group_name_H-M_alt 'I -4 2 d'
_space_group_IT_number 122
_space_group_name_Hall 'I -4 2bw'
_cell_length_a 6.188
_cell_length_b 6.188
_cell_length_c 16.413
_cell_angle_alpha 90.00
_cell_angle_beta 90.00
_cell_angle_gamma 90.00
loop_
_atom_site_label
_atom_site_type_symbol
_atom_site_fract_x
_atom_site_fract_y
_atom_site_fract_z
_atom_site_occupancy
Cs1 Cs 0.000 0.000 0.000 1
As1 As 0.000 0.000 0.500 1
Cl1 Cl 0.119 0.250 0.625 1
```

Output
ΔE_f (raw)   -2.66 eV per formula unit
Energy above the lowest structure with this stoichiometry   21 meV/atom
Spin magnetization   0.0 μB per formula unit

***

What is the formula in the second record? ScHg2Pd6